Record 1
Compound: BaNaH
Source: Alexandria via LeMat-Bulk
Functional: PBE-GGA
Structure: optimized geometry

Cell lengths 11.8058, 11.8058, 11.8058 Å; angles 159.72, 159.72, 28.83 degrees
Fractional coordinates of all 6 atoms:
Ba1 0.0752 0.0752 0.0000
Ba2 0.9248 0.9248 0.0000
Na1 0.2944 0.2944 0.0000
Na2 0.7056 0.7056 0.0000
H1 0.0000 0.5000 0.5000
H2 0.5000 0.0000 0.5000

Summary:
DOS at the Fermi energy	0.344	states/eV per atom

***

Record 2
Compound: Ba3NaH3
Source: Alexandria via LeMat-Bulk
Functional: PBE-GGA
Structure: optimized geometry

Cell lengths 7.5794, 7.5794, 7.5794 Å; angles 90.00, 90.00, 90.00 degrees
Fractional coordinates of all 14 atoms:
Ba1 0.0000 0.2500 0.5000
Ba2 0.0000 0.7500 0.5000
Ba3 0.2500 0.5000 0.0000
Ba4 0.5000 0.0000 0.2500
Ba5 0.5000 0.0000 0.7500
Ba6 0.7500 0.5000 0.0000
Na1 0.0000 0.0000 0.0000
Na2 0.5000 0.5000 0.5000
H1 0.0000 0.5000 0.2500
H2 0.0000 0.5000 0.7500
H3 0.2500 0.0000 0.5000
H4 0.5000 0.2500 0.0000
H5 0.5000 0.7500 0.0000
H6 0.7500 0.0000 0.5000

Summary:
DOS at the Fermi energy	0.399	states/eV per atom

***

Record 3
Compound: Ba2NaH2
Source: Alexandria via LeMat-Bulk
Functional: PBE-GGA
Structure: optimized geometry

Cell lengths 8.5255, 8.5255, 8.5255 Å; angles 149.15, 149.15, 44.19 degrees
Fractional coordinates of all 5 atoms:
Ba1 0.1637 0.1637 0.0000
Ba2 0.8363 0.8363 0.0000
Na1 0.5000 0.5000 0.0000
H1 0.2500 0.7500 0.5000
H2 0.7500 0.2500 0.5000

Summary:
DOS at the Fermi energy	0.894	states/eV per atom

***

Record 4
Compound: BaNa2H
Source: Alexandria via LeMat-Bulk
Functional: PBE-GGA
Structure: optimized geometry

Cell lengths 5.8585, 5.8585, 5.8585 Å; angles 60.00, 60.00, 60.00 degrees
Fractional coordinates of all 4 atoms:
Ba1 0.0000 0.0000 0.0000
Na1 0.2500 0.2500 0.2500
Na2 0.7500 0.7500 0.7500
H1 0.5000 0.5000 0.5000

Summary:
DOS at the Fermi energy	0.670	states/eV per atom

***

Record 5
Compound: BaNaH
Source: Alexandria via LeMat-Bulk
Functional: PBE-GGA
Structure: optimized geometry

Cell lengths 9.7576, 9.7576, 9.7576 Å; angles 106.03, 96.94, 127.08 degrees
Fractional coordinates of all 18 atoms:
Ba1 0.1838 0.0137 0.1975
Ba2 0.1838 0.4863 0.6701
Ba3 0.6041 0.3905 0.7136
Ba4 0.6769 0.8905 0.2864
Ba5 0.8162 0.5137 0.3299
Ba6 0.8162 0.9863 0.8025
Na1 0.0621 0.0243 0.5378
Na2 0.0646 0.5502 0.0144
Na3 0.0890 0.3533 0.2356
Na4 0.1177 0.8533 0.7644
Na5 0.4865 0.5243 0.4622
Na6 0.5358 0.0502 0.9856
H1 0.0754 0.0754 0.0000
H2 0.0754 0.5754 0.5000
H3 0.5316 0.2961 0.4095
H4 0.5316 0.6221 0.7355
H5 0.8866 0.1221 0.5905
H6 0.8866 0.7961 0.2645

Summary:
DOS at the Fermi energy	0.284	states/eV per atom

***

Record 6
Compound: Ba2NaNbH
Source: Alexandria via LeMat-Bulk
Functional: PBE-GGA
Structure: optimized geometry

Cell lengths 6.5895, 6.5895, 3.7193 Å; angles 90.00, 90.00, 90.00 degrees
Fractional coordinates of all 5 atoms:
Ba1 0.0000 0.5000 0.0000
Ba2 0.5000 0.0000 0.0000
Na1 0.0000 0.0000 0.0000
Nb1 0.5000 0.5000 0.5000
H1 0.0000 0.0000 0.5000

Summary:
DOS at the Fermi energy	0.704	states/eV per atom

***

Record 7
Compound: BaNa2NiH8
Source: Alexandria via LeMat-Bulk
Functional: PBE-GGA
Structure: optimized geometry

Cell lengths 4.8648, 4.8648, 7.3381 Å; angles 90.00, 90.00, 120.00 degrees
Fractional coordinates of all 12 atoms:
Ba1 0.0000 0.0000 0.0000
Na1 0.3333 0.6667 0.3660
Na2 0.6667 0.3333 0.6340
Ni1 0.0000 0.0000 0.5000
H1 0.1444 0.2888 0.6211
H2 0.1444 0.8556 0.6211
H3 0.2888 0.1444 0.3789
H4 0.3333 0.6667 0.0709
H5 0.6667 0.3333 0.9291
H6 0.7112 0.8556 0.6211
H7 0.8556 0.1444 0.3789
H8 0.8556 0.7112 0.3789

***

Record 8
Compound: Ba2NaNiH6
Source: Alexandria via LeMat-Bulk
Functional: PBE-GGA
Structure: optimized geometry

Cell lengths 5.6627, 5.6627, 5.3846 Å; angles 90.00, 90.00, 120.00 degrees
Fractional coordinates of all 10 atoms:
Ba1 0.3333 0.6667 0.1951
Ba2 0.6667 0.3333 0.8049
Na1 0.0000 0.0000 0.5000
Ni1 0.0000 0.0000 0.0000
H1 0.1452 0.2904 0.8229
H2 0.1452 0.8548 0.8229
H3 0.2904 0.1452 0.1771
H4 0.7096 0.8548 0.8229
H5 0.8548 0.1452 0.1771
H6 0.8548 0.7096 0.1771

Summary:
DOS at the Fermi energy	0.421	states/eV per atom

***

Number 1: DFT total energy -2.34 eV/atom, calculated volume 197.6 Å³ per cell. Number 2: DFT total energy -2.72 eV/atom, calculated volume 435.4 Å³ per cell. Number 3: DFT total energy -2.69 eV/atom, calculated volume 162.5 Å³ per cell. Number 4: DFT total energy -1.47 eV/atom, calculated volume 142.2 Å³ per cell. Number 5: DFT total energy -2.27 eV/atom, calculated volume 660.4 Å³ per cell. Number 6: DFT total energy -2.82 eV/atom, calculated volume 161.5 Å³ per cell. Number 7: DFT total energy -3.34 eV/atom, calculated volume 150.4 Å³ per cell. Number 8: DFT total energy -3.41 eV/atom, calculated volume 149.5 Å³ per cell.